# PrNdBr3N | OQMD | PBE | relaxed
# - magnetic moment (μB per atom) = 0.000
# - crystal system = monoclinic
# - distance to the lowest polymorph of the same formula (eV/atom) = 0.0000
# - E_tot (eV per atom) = -5.6138
data_PrNdBr3N
_chemical_formula_sum 'Pr2 Nd2 Br6 N2'
_cell_length_a 9.239
_cell_length_b 9.239
_cell_length_c 11.680
_cell_angle_alpha 121.69
_cell_angle_beta 121.69
_cell_angle_gamma 25.48
_space_group_name_H-M_alt 'P 1'
_space_group_IT_number 1
_space_group_name_Hall 'P 1'
loop_
_atom_site_label
_atom_site_fract_x
_atom_site_fract_y
_atom_site_fract_z
Br1 0.779 0.779 0.382
Br2 0.336 0.336 0.989
Br3 0.957 0.957 0.754
Br4 0.043 0.043 0.246
Br5 0.664 0.664 0.011
Br6 0.221 0.221 0.618
Pr1 0.137 0.137 0.787
Pr2 0.863 0.863 0.213
Nd1 0.421 0.421 0.543
Nd2 0.579 0.579 0.457
N1 0.426 0.426 0.347
N2 0.574 0.574 0.653